Record 1
24
Lattice="-1.610 4.282 0.471 -2.175 0.543 -12.371 -11.869 -4.668 1.882" Properties=species:S:1:pos:R:3 comment="PrAgTe3Pb PBE relaxed" space_group="No. 62" vol_a3_per_cell=745.4 polymorph_energy_mev_per_atom=25 rho_g_cm3=7.47 dft_energy_ev_per_cell=-100.2 pbc="T T T"
Te -6.636 1.214 -0.032
Te -9.018 -1.056 -9.985
Te -9.027 -1.576 -5.291
Te -12.740 -0.220 -7.853
Te -9.824 0.227 -1.958
Te -12.427 -3.097 -3.087
Te -3.227 3.254 -6.931
Te -10.812 -2.978 1.350
Te -5.830 -0.070 -8.060
Te -2.914 0.378 -2.164
Te -4.842 3.135 -11.368
Te -6.627 1.733 -4.727
Pr -9.461 0.003 1.317
Pr -3.691 0.439 -5.374
Pr -6.193 0.154 -11.335
Pr -11.963 -0.281 -4.644
Ag -10.464 -1.856 -7.655
Ag -10.262 -2.476 -1.329
Ag -5.392 2.634 -8.688
Ag -5.190 2.014 -2.363
Pb -2.394 1.414 -9.806
Pb -8.893 1.161 -7.261
Pb -13.260 -1.256 -0.211
Pb -6.761 -1.003 -2.756

---

Record 2
12
Lattice="7.490 -2.201 0.000 7.490 2.201 0.000 0.000 0.000 11.549" Properties=species:S:1:pos:R:3 comment="PrAgTe3Pb PBE relaxed" space_group="No. 63" vol_a3_per_cell=380.8 polymorph_energy_mev_per_atom=4 rho_g_cm3=7.32 dft_energy_ev_per_cell=-50.4 pbc="T T T"
Te 13.561 0.000 8.662
Te 5.259 0.000 0.720
Te 9.721 0.000 10.830
Te 1.419 0.000 2.887
Te 9.721 0.000 6.494
Te 5.259 0.000 5.055
Pb 3.485 0.000 8.662
Pb 11.495 0.000 2.887
Pr 0.000 0.000 5.775
Pr 0.000 0.000 0.000
Ag 7.911 0.000 8.662
Ag 7.069 0.000 2.887

---

Record 3
12
Lattice="-7.568 -6.706 2.158 -4.028 -9.330 1.900 2.600 2.697 8.250" Properties=species:S:1:pos:R:3 comment="PrAgTe3Pb PBE relaxed" space_group="No. 12" vol_a3_per_cell=394.2 polymorph_energy_mev_per_atom=29 rho_g_cm3=7.07 dft_energy_ev_per_cell=-50.1 pbc="T T T"
Te 1.300 1.348 4.125
Te -2.071 -3.454 6.736
Te -6.925 -9.885 5.571
Te -5.712 -8.661 9.762
Te -3.284 -4.678 2.545
Te -5.798 -8.018 2.029
Ag -4.432 -6.769 8.086
Ag -4.565 -6.570 4.221
Pb -1.259 -1.804 1.083
Pb -7.737 -11.535 11.225
Pr -8.651 -12.333 6.791
Pr -0.345 -1.006 5.517

---

Record 4
12
Lattice="-5.937 -0.418 6.088 3.172 -0.156 3.083 1.931 10.536 -1.453" Properties=species:S:1:pos:R:3 comment="PrAgTe3Pb PBE relaxed" space_group="No. 11" vol_a3_per_cell=392.4 polymorph_energy_mev_per_atom=12 rho_g_cm3=7.10 dft_energy_ev_per_cell=-50.3 pbc="T T T"
Te -0.784 8.562 2.829
Te 0.384 4.785 1.436
Te -1.218 5.177 6.282
Te -0.050 1.400 4.889
Te 1.973 8.977 0.014
Te -2.807 0.985 7.705
Ag 0.701 4.054 4.251
Ag -1.534 5.908 3.467
Pb 2.270 7.164 2.794
Pb -3.103 2.798 4.924
Pr -0.058 1.649 1.732
Pr -0.776 8.313 5.986

---

Record 5
24
Lattice="-3.088 -6.707 -5.534 -0.396 -2.837 3.659 -16.895 5.665 2.563" Properties=species:S:1:pos:R:3 comment="PrAgTe3Pb PBE relaxed" space_group="No. 62" vol_a3_per_cell=772.0 polymorph_energy_mev_per_atom=28 rho_g_cm3=7.22 dft_energy_ev_per_cell=-100.2 pbc="T T T"
Pr -11.466 -2.787 -1.926
Pr -17.229 3.017 1.949
Pr -8.914 -1.092 2.614
Pr -3.151 -6.896 -1.261
Ag -2.911 -2.158 2.438
Ag -11.982 0.310 0.419
Ag -17.468 -1.721 -1.750
Ag -8.398 -4.190 0.269
Te -6.077 -5.604 -0.576
Te -17.750 0.498 -0.060
Te -15.770 2.832 4.915
Te -11.893 -2.339 1.325
Te -14.639 -2.034 -1.686
Te -10.375 -5.651 -1.078
Te -14.303 1.725 1.264
Te -4.609 -6.711 -4.227
Te -10.005 1.772 1.766
Te -8.487 -1.540 -0.637
Te -2.629 -4.377 0.748
Te -5.740 -1.846 2.374
Pb -5.380 -2.248 -0.850
Pb -7.450 -5.425 -3.537
Pb -15.000 -1.631 1.537
Pb -12.930 1.546 4.225

---

Record 6
24
Lattice="11.607 0.000 0.000 0.000 4.442 0.000 0.000 0.000 14.914" Properties=species:S:1:pos:R:3 comment="PrAgTe3Pb PBE relaxed" space_group="No. 62" vol_a3_per_cell=768.9 polymorph_energy_mev_per_atom=0 rho_g_cm3=7.25 dft_energy_ev_per_cell=-100.9 pbc="T T T"
Pr 6.002 1.110 11.294
Pr 11.409 3.331 3.837
Pr 0.198 1.110 11.077
Pr 5.605 3.331 3.620
Te 0.964 3.331 8.917
Te 10.643 1.110 5.997
Te 6.768 3.331 13.454
Te 5.287 3.331 9.046
Te 11.090 3.331 13.324
Te 6.321 1.110 5.867
Te 8.555 3.331 2.303
Te 4.840 1.110 1.460
Te 8.856 1.110 9.760
Te 0.517 1.110 1.589
Te 2.751 3.331 5.154
Te 3.052 1.110 12.611
Ag 8.843 3.331 11.564
Ag 3.039 3.331 10.806
Ag 2.764 1.110 3.349
Ag 8.568 1.110 4.108
Pb 2.577 3.331 0.218
Pb 9.031 1.110 14.695
Pb 8.380 3.331 7.238
Pb 3.227 1.110 7.675

---

Record 7
6
Lattice="-1.006 3.427 3.259 -2.396 -0.122 -4.198 -5.203 -4.476 3.100" Properties=species:S:1:pos:R:3 comment="PrTmAg2Pb2 PBE relaxed" space_group="No. 156" vol_a3_per_cell=152.5 rho_g_cm3=10.24 dft_energy_ev_per_cell=-24.8 pbc="T T T"
Pb -5.509 -1.231 3.180
Pb -3.302 -0.117 -0.896
Ag -2.356 1.481 1.302
Ag -5.549 -2.049 0.442
Pr -2.549 -2.193 1.519
Tm -5.157 -4.436 3.073

---

Record 8
11
Lattice="-2.322 3.793 7.824 2.322 -3.793 7.824 2.322 3.793 -7.824" Properties=species:S:1:pos:R:3 comment="PrY2Ag4Pb4 PBE relaxed" space_group="No. 71" vol_a3_per_cell=275.6 rho_g_cm3=9.51 dft_energy_ev_per_cell=-47.3 pbc="T T T"
Y 2.322 0.000 5.819
Y 0.000 3.793 2.005
Pb 0.000 0.000 3.408
Pb 0.000 1.495 7.824
Pb 2.322 2.298 0.000
Pb 0.000 0.000 12.241
Ag 0.000 2.301 5.148
Ag 0.000 2.301 10.501
Ag 2.322 1.491 2.676
Ag 2.322 1.491 -2.676
Pr 0.000 0.000 0.000

---

- Which formula does entry 5 have?
  PrAgTe3Pb